Below is a relaxed structure of TiAlPd3, with properties calculated at the PBE-GGA level.

Cell lengths 4.6579, 4.6579, 4.6579 Å; angles 90.00, 90.00, 90.00 degrees
Atoms (fractional coordinates):
Ti (0.0000, 0.0000, 0.0000)
Al (0.5000, 0.5000, 0.5000)
Pd (0.0000, 0.0000, 0.5000)
Pd (0.0000, 0.5000, 0.0000)
Pd (0.5000, 0.0000, 0.0000)

Output
Energy ... -4.9654 eV per atom
Energy above the lowest structure with this stoichiometry ... 1216 meV/atom
V ... 101 Å³/f.u.